Computed, not measured: a geometry-optimized BeCrNO2 structure at the PBE with a Hubbard U level of DFT.

**Mass density**: 3541 kg/m³
**SG**: P4/mmm, No. 123
**Calculated volume**: 50.2 Å³ per cell
**VASP energy**: -5.702 eV per atom

Geometry as extended XYZ:
```
5
Lattice="3.576 0.000 0.000 0.000 3.576 0.000 0.000 0.000 3.924" Properties=species:S:1:pos:R:3 pbc="T T T"
Be 0.000 0.000 0.000
Cr 1.788 1.788 1.962
N 1.788 1.788 0.000
O 0.000 1.788 1.962
O 1.788 0.000 1.962
```